1.
VASP calculation (GGA-PBEsol) on ZrPOs2 after structural relaxation.

Lattice parameters (Å, degrees): 2.9168 4.7811 5.0109 110.58 106.92 90.00
Last column: nearest neighbours and their distance in Å.
Fractional coordinates of all 4 atoms:
Zr 0.2330 0.7240 0.4660  2 P 2.71, 5 Os 2.76-2.95, 2 Zr 2.92
P 0.4810 0.4488 0.9620  4 Os 2.38-2.43
Os 0.7648 0.2344 0.5297  2 P 2.43, 2 Os 2.62
Os 0.0211 0.0928 0.0423  2 P 2.38, 2 Os 2.62

Magnetic moment: 0.00 μB per formula unit
Energy of formation from the pure elements: -232 meV per atom
Calculated density: 13.42 g cm⁻³
D(E_F): 2.40 states/eV/cell
Calculated total energy: -10.06 eV per atom
Symmetry: No. 8



2.
VASP calculation (GGA-PBEsol) on Zr2POs after structural relaxation.

Lattice parameters (Å, degrees): 3.5618 3.9723 5.2406 90.00 109.87 90.00
Last column: nearest neighbours and their distance in Å.
Fractional coordinates of all 4 atoms:
P 0.5436 0.5000 0.0871  2 Os 2.56, 7 Zr 2.73-2.83
Zr 0.2663 0.5000 0.5325  4 Os 2.73, 3 P 2.73-2.83
Zr 0.9826 0.0000 0.9652  3 Os 2.71-2.84, 4 P 2.73
Os 0.7075 0.0000 0.4151  2 P 2.56, 7 Zr 2.71-2.84

Magnetic moment: 0.00 μB per formula unit
Energy of formation from the pure elements: -852 meV per atom
Calculated density: 9.61 g cm⁻³
D(E_F): 2.54 states/eV/cell
Calculated total energy: -9.90 eV per atom
Symmetry: No. 38



3.
VASP calculation (GGA-PBEsol) on Zr2POs after structural relaxation.

Lattice parameters (Å, degrees): 3.3355 3.3355 6.0395 90.00 90.00 90.00
Last column: nearest neighbours and their distance in Å.
Fractional coordinates of all 4 atoms:
Zr 0.0000 0.0000 0.2579  4 P 2.77, 4 Os 2.83, 1 Zr 2.92
Zr 0.0000 0.0000 0.7421  4 P 2.77, 4 Os 2.83, 1 Zr 2.92
Os 0.5000 0.5000 0.0000  8 Zr 2.83, 2 P 3.02
P 0.5000 0.5000 0.5000  8 Zr 2.77, 2 Os 3.02

Magnetic moment: 0.00 μB per formula unit
Energy of formation from the pure elements: -641 meV per atom
Calculated density: 9.98 g cm⁻³
D(E_F): 3.47 states/eV/cell
Calculated total energy: -9.69 eV per atom
Symmetry: No. 123